{"formula": "Na3Ag2Sn4", "functional": "PBE", "state": "relaxed", "lattice_angstrom": [[5.577, -2.423, 0.000], [5.577, 2.423, 0.000], [-3.938, 0.000, 8.618]], "species": ["Na", "Na", "Na", "Ag", "Ag", "Sn", "Sn", "Sn", "Sn"], "fractional_positions": [[0.000, 0.000, 0.000], [0.318, 0.318, 0.374], [0.682, 0.682, 0.626], [0.414, 0.414, 0.740], [0.586, 0.586, 0.260], [0.015, 0.015, 0.352], [0.256, 0.256, 0.907], [0.744, 0.744, 0.093], [0.985, 0.985, 0.648]], "formation_energy_ev_per_atom": -0.177, "crystal_system": "monoclinic", "magmom_total_mub_per_cell": 0.00}

=====

{"formula": "AcPm8Ho6", "functional": "PBE", "state": "relaxed", "lattice_angstrom": [[9.573, 0.000, 0.000], [-4.786, 8.290, 0.000], [0.000, 0.000, 6.602]], "species": ["Ac", "Pm", "Pm", "Pm", "Pm", "Pm", "Pm", "Pm", "Pm", "Ho", "Ho", "Ho", "Ho", "Ho", "Ho"], "fractional_positions": [[0.000, 0.000, 0.000], [0.020, 0.688, 0.603], [0.312, 0.332, 0.603], [0.332, 0.020, 0.397], [0.333, 0.667, 0.330], [0.667, 0.333, 0.670], [0.668, 0.980, 0.603], [0.688, 0.668, 0.397], [0.980, 0.312, 0.397], [0.093, 0.416, 0.900], [0.323, 0.907, 0.900], [0.416, 0.323, 0.100], [0.584, 0.677, 0.900], [0.677, 0.093, 0.100], [0.907, 0.584, 0.100]], "formation_energy_ev_per_atom": 0.204, "crystal_system": "trigonal", "magmom_total_mub_per_cell": 0.00}

=====

{"formula": "Tb4AgHg", "functional": "PBE", "state": "relaxed", "lattice_angstrom": [[6.211, 0.000, 0.000], [0.000, 9.080, 0.000], [-1.724, 0.000, 5.973]], "species": ["Tb", "Tb", "Tb", "Tb", "Tb", "Tb", "Tb", "Tb", "Ag", "Ag", "Hg", "Hg"], "fractional_positions": [[0.103, 0.163, 0.108], [0.103, 0.337, 0.608], [0.392, 0.661, 0.897], [0.392, 0.839, 0.397], [0.608, 0.161, 0.603], [0.608, 0.339, 0.103], [0.897, 0.663, 0.392], [0.897, 0.837, 0.892], [0.000, 0.000, 0.500], [0.000, 0.500, 0.000], [0.500, 0.000, 0.000], [0.500, 0.500, 0.500]], "formation_energy_ev_per_atom": -0.101, "crystal_system": "monoclinic", "magmom_total_mub_per_cell": 0.00}

=====

{"formula": "PmCdAu3", "functional": "PBE", "state": "relaxed", "lattice_angstrom": [[5.541, 0.000, 0.000], [0.529, 5.625, 0.000], [2.385, 1.040, 7.013]], "species": ["Pm", "Pm", "Cd", "Cd", "Au", "Au", "Au", "Au", "Au", "Au"], "fractional_positions": [[0.000, 0.000, 0.000], [0.479, 0.529, 0.621], [0.064, 0.220, 0.527], [0.464, 0.710, 0.158], [0.013, 0.765, 0.449], [0.429, 0.261, 0.055], [0.574, 0.059, 0.389], [0.592, 0.973, 0.766], [0.900, 0.527, 0.833], [0.922, 0.465, 0.207]], "formation_energy_ev_per_atom": -0.539, "crystal_system": "triclinic", "magmom_total_mub_per_cell": 0.00}

=====

{"formula": "AcCeTePb", "functional": "PBE", "state": "relaxed", "lattice_angstrom": [[0.000, 4.021, 4.021], [4.021, 0.000, 4.021], [4.021, 4.021, 0.000]], "species": ["Ac", "Ce", "Te", "Pb"], "fractional_positions": [[0.000, 0.000, 0.000], [0.500, 0.500, 0.500], [0.750, 0.750, 0.750], [0.250, 0.250, 0.250]], "crystal_system": "cubic", "magmom_total_mub_per_cell": 0.96, "e_form_raw_mev_per_atom": -764.8}

=====

{"formula": "NaDy2Sc3Se6", "functional": "PBE", "state": "relaxed", "lattice_angstrom": [[8.704, -1.978, 0.000], [8.704, 1.978, 0.000], [-1.930, 0.000, 7.795]], "species": ["Na", "Dy", "Dy", "Sc", "Sc", "Sc", "Se", "Se", "Se", "Se", "Se", "Se"], "fractional_positions": [[0.000, 0.000, 0.000], [0.333, 0.333, 0.662], [0.667, 0.667, 0.338], [0.000, 0.000, 0.500], [0.335, 0.335, 0.179], [0.665, 0.665, 0.821], [0.162, 0.162, 0.590], [0.171, 0.171, 0.073], [0.498, 0.498, 0.260], [0.502, 0.502, 0.740], [0.829, 0.829, 0.927], [0.838, 0.838, 0.410]], "crystal_system": "monoclinic", "magmom_total_mub_per_cell": 0.00, "e_form_raw_mev_per_atom": -1652.1}

=====

{"formula": "SiAsS3", "functional": "PBE", "state": "relaxed", "lattice_angstrom": [[7.361, -1.740, 0.000], [7.361, 1.740, 0.000], [-1.033, 0.000, 10.392]], "species": ["Si", "Si", "As", "As", "S", "S", "S", "S", "S", "S"], "fractional_positions": [[0.092, 0.092, 0.280], [0.908, 0.908, 0.720], [0.417, 0.417, 0.046], [0.583, 0.583, 0.954], [0.051, 0.051, 0.775], [0.161, 0.161, 0.109], [0.368, 0.368, 0.600], [0.632, 0.632, 0.400], [0.839, 0.839, 0.891], [0.949, 0.949, 0.225]], "crystal_system": "monoclinic", "magmom_total_mub_per_cell": 0.00, "e_form_raw_mev_per_atom": -376.6}

=====

{"formula": "Eu2N", "functional": "PBE", "state": "relaxed", "lattice_angstrom": [[0.000, 5.270, 5.270], [5.270, 0.000, 5.270], [5.270, 5.270, 0.000]], "species": ["Eu", "Eu", "Eu", "Eu", "Eu", "Eu", "Eu", "Eu", "N", "N", "N", "N"], "fractional_positions": [[0.221, 0.760, 0.760], [0.240, 0.240, 0.240], [0.240, 0.240, 0.779], [0.240, 0.779, 0.240], [0.760, 0.221, 0.760], [0.760, 0.760, 0.221], [0.760, 0.760, 0.760], [0.779, 0.240, 0.240], [0.000, 0.000, 0.000], [0.000, 0.000, 0.500], [0.000, 0.500, 0.000], [0.500, 0.000, 0.000]], "crystal_system": "cubic", "magmom_total_mub_per_cell": 59.17, "e_form_raw_mev_per_atom": -723.5}

=====

{"formula": "MgPbSe2N", "functional": "PBE", "state": "relaxed", "lattice_angstrom": [[5.517, 0.000, 0.000], [0.000, 5.517, 0.000], [0.000, 0.000, 4.257]], "species": ["Mg", "Pb", "Se", "Se", "N"], "fractional_positions": [[0.000, 0.000, 0.000], [0.500, 0.500, 0.500], [0.000, 0.500, 0.500], [0.500, 0.000, 0.500], [0.500, 0.500, 0.000]], "crystal_system": "tetragonal", "magmom_total_mub_per_cell": 1.35, "e_form_raw_mev_per_atom": 716.0}

=====

{"formula": "Mg2ZrPd3", "functional": "PBE", "state": "relaxed", "lattice_angstrom": [[3.184, 0.000, 0.000], [0.000, 3.184, 0.000], [0.000, 0.000, 10.104]], "species": ["Mg", "Mg", "Zr", "Pd", "Pd", "Pd"], "fractional_positions": [[0.000, 0.000, 0.158], [0.000, 0.000, 0.842], [0.000, 0.000, 0.500], [0.500, 0.500, 0.000], [0.500, 0.500, 0.320], [0.500, 0.500, 0.680]], "formation_energy_ev_per_atom": -0.696, "crystal_system": "tetragonal", "magmom_total_mub_per_cell": 0.00}

=====

{"formula": "BaSO", "functional": "PBE", "state": "relaxed", "lattice_angstrom": [[4.445, 0.000, 0.000], [-2.209, 4.062, 0.000], [0.000, -2.309, 4.177]], "species": ["Ba", "S", "O"], "fractional_positions": [[0.000, 0.000, 0.000], [0.461, 0.919, 0.487], [0.640, 0.282, 0.871]], "crystal_system": "triclinic", "magmom_total_mub_per_cell": 0.00, "e_form_raw_mev_per_atom": -1746.6}

=====

{"formula": "TbEr2Ag", "functional": "PBE", "state": "relaxed", "lattice_angstrom": [[1.764, 1.018, 10.417], [-1.764, 1.018, 10.417], [0.000, -2.037, 10.417]], "species": ["Tb", "Er", "Er", "Ag"], "fractional_positions": [[0.000, 0.000, 0.000], [0.241, 0.241, 0.241], [0.759, 0.759, 0.759], [0.500, 0.500, 0.500]], "formation_energy_ev_per_atom": -0.021, "crystal_system": "trigonal", "magmom_total_mub_per_cell": 0.00}